# In6Br7Cl5 (PBE, relaxed)
# - space group = Amm2, No. 38
# - electronic total energy (eV/cell) = -52.34
# - E_form (uncorrected) (meV per atom) = -832
data_In6Br7Cl5
_cell_length_a 7.169
_cell_length_b 7.169
_cell_length_c 12.394
_cell_angle_alpha 90.00
_cell_angle_beta 90.00
_cell_angle_gamma 95.27
_space_group_name_H-M_alt 'P 1'
_space_group_IT_number 1
_space_group_name_Hall 'P 1'
loop_
_atom_site_label
_atom_site_type_symbol
_atom_site_fract_x
_atom_site_fract_y
_atom_site_fract_z
Cl1 Cl 0.258 0.258 0.161
Cl2 Cl 0.741 0.741 0.169
Cl3 Cl 0.258 0.258 0.839
Cl4 Cl 0.741 0.741 0.831
Cl5 Cl 0.265 0.265 0.500
Br1 Br 0.731 0.731 0.500
Br2 Br 0.829 0.183 0.667
Br3 Br 0.183 0.829 0.333
Br4 Br 0.172 0.817 0.000
Br5 Br 0.817 0.172 0.000
Br6 Br 0.829 0.183 0.333
Br7 Br 0.183 0.829 0.667
In1 In 0.510 0.510 0.000
In2 In 0.490 0.490 0.674
In3 In 0.000 0.000 0.834
In4 In 0.000 0.000 0.166
In5 In 0.490 0.490 0.326
In6 In 0.005 0.005 0.500